Entry 1:
Compound: LaCeIrRu
Source: Alexandria
Functional: GGA-PBE
Structure: optimized geometry

a b c (Å): 7.0540 7.0540 7.0540
angles (deg): 90.00 90.00 90.00
Space group F-43m (No. 216)
Unique sites:
La 0.0000 0.0000 0.0000 (multiplicity 4)
Ce 0.0000 0.0000 0.5000 (multiplicity 4)
Ir 0.2500 0.2500 0.2500 (multiplicity 4)
Ru 0.2500 0.2500 0.7500 (multiplicity 4)

Calculated values
For the energy relative to the elements, the calculation gives -0.39 eV per atom. As for the raw total energy: -7.639 eV/atom. As for the density of states at the Fermi level: 4.35 states/eV/f.u. For the volume, the calculation gives 351.01 Å³ per cell.

Entry 2:
Compound: La2CeSb3Ir4
Source: Alexandria
Functional: GGA-PBE
Structure: optimized geometry

a b c (Å): 4.4518 4.4518 11.5428
angles (deg): 90.00 90.00 90.00
Space group P-4m2 (No. 115)
Unique sites:
La 0.0000 0.5000 0.2252 (multiplicity 2)
Ce 0.0000 0.0000 0.5000 (multiplicity 1)
Sb 0.0000 0.5000 0.8688 (multiplicity 2)
Sb 0.5000 0.5000 0.5000 (multiplicity 1)
Ir 0.0000 0.0000 0.0000 (multiplicity 1)
Ir 0.0000 0.5000 0.6426 (multiplicity 2)
Ir 0.5000 0.5000 0.0000 (multiplicity 1)

Calculated values
As for the raw total energy: -7.070 eV/atom. As for the density of states at the Fermi level: 9.20 states/eV/f.u. The uncorrected formation energy comes out at -7.1 eV/f.u. For the volume, the calculation gives 228.76 Å³ per cell.

Entry 3:
Compound: La2Ce2Si4Ir
Source: Alexandria
Functional: GGA-PBE
Structure: optimized geometry

a b c (Å): 7.1497 7.1497 8.2801
angles (deg): 90.00 90.00 90.00
Space group I4/mmm (No. 139)
Unique sites:
La 0.0000 0.5000 0.2500 (multiplicity 4)
Ce 0.0000 0.0000 0.1662 (multiplicity 4)
Si 0.2396 0.2396 0.5000 (multiplicity 8)
Ir 0.0000 0.0000 0.5000 (multiplicity 2)

Calculated values
As for the raw total energy: -6.295 eV/atom. As for the density of states at the Fermi level: 7.75 states/eV/f.u. The uncorrected formation energy comes out at -4.4 eV/f.u. For the volume, the calculation gives 423.27 Å³ per cell.

Entry 4:
Compound: La2CeSn3Ir4
Source: Alexandria
Functional: GGA-PBE
Structure: optimized geometry

a b c (Å): 4.5222 4.5222 11.3268
angles (deg): 90.00 90.00 90.00
Space group P-4m2 (No. 115)
Unique sites:
La 0.0000 0.5000 0.2247 (multiplicity 2)
Ce 0.0000 0.0000 0.5000 (multiplicity 1)
Sn 0.0000 0.5000 0.8722 (multiplicity 2)
Sn 0.5000 0.5000 0.5000 (multiplicity 1)
Ir 0.0000 0.0000 0.0000 (multiplicity 1)
Ir 0.0000 0.5000 0.6397 (multiplicity 2)
Ir 0.5000 0.5000 0.0000 (multiplicity 1)

Calculated values
For the energy relative to the elements, the calculation gives -0.66 eV per atom. As for the raw total energy: -6.979 eV/atom. As for the density of states at the Fermi level: 5.66 states/eV/f.u. For the volume, the calculation gives 231.64 Å³ per cell.

Look up the density of states at the Fermi level of the first one. 4.35 states/eV/f.u.